A geometry-optimized HfN2 structure, computed with GGA-PBE.

Computed properties:
The energy is -9.63 eV per atom.

```
data_HfN2
_symmetry_space_group_name_H-M 'P 63/m m c'
_symmetry_Int_Tables_number 194
_symmetry_space_group_name_Hall '-P 6c 2c'
_cell_length_a 3.2388
_cell_length_b 3.2388
_cell_length_c 7.5815
_cell_angle_alpha 90.00
_cell_angle_beta 90.00
_cell_angle_gamma 120.00
loop_
_atom_site_label
_atom_site_type_symbol
_atom_site_fract_x
_atom_site_fract_y
_atom_site_fract_z
Hf1 Hf 0.3333 0.6667 0.2500
N1 N 0.0000 0.0000 0.0938
```